This record from Alexandria describes a crystal of AlCu2Tc relaxed with PBEsol. The functional is SCAN.

Structure (CIF):
```
data_AlCu2Tc
_chemical_formula_sum 'Al1 Cu2 Tc1'
_cell_length_a 2.714
_cell_length_b 2.714
_cell_length_c 6.877
_cell_angle_alpha 90.00
_cell_angle_beta 90.00
_cell_angle_gamma 90.00
_space_group_name_H-M_alt 'P 4 m m'
_space_group_IT_number 99
_space_group_name_Hall 'P 4 -2'
loop_
_atom_site_label
_atom_site_type_symbol
_atom_site_fract_x
_atom_site_fract_y
_atom_site_fract_z
_atom_site_occupancy
Al1 Al 0.000 0.000 0.000 1
Cu1 Cu 0.000 0.000 0.475 1
Cu2 Cu 0.500 0.500 0.245 1
Tc1 Tc 0.500 0.500 0.731 1
```

Its total energy is -1.350 Ry/atom. The calculation puts the density of states at the Fermi level at 2.5 states/eV per cell. The value obtained for the total magnetization is 0.0020 μB per atom.